Record 1
Below is a relaxed NaCoSeO crystal, with properties calculated at the PBE with a Hubbard U level.

Lattice parameters (Å, degrees): 6.873 6.414 5.800 90.00 103.12 90.00
Fractional positions:
Na 0.119 0.740 0.519
O 0.616 0.147 0.146
O 0.384 0.853 0.854
O 0.384 0.647 0.354
Co 0.488 0.114 0.764
Co 0.488 0.386 0.264
Na 0.881 0.260 0.481
Se 0.755 0.621 0.157
Na 0.881 0.240 0.981
Se 0.245 0.379 0.843
Se 0.245 0.121 0.343
Se 0.755 0.879 0.657
Na 0.119 0.760 0.019
Co 0.512 0.614 0.736
O 0.616 0.353 0.646
Co 0.512 0.886 0.236

Results
Raw total energy: -4.4121 eV/atom
Total moment: 9.1 μB/cell

=====

Record 2
Below is a relaxed NaCoSeO crystal, with properties calculated at the PBE with a Hubbard U level.

Lattice parameters (Å, degrees): 5.581 5.385 10.239 90.00 113.89 90.00
Fractional positions:
O 0.780 0.536 0.045
Co 0.484 0.294 0.971
Se 0.764 0.974 0.302
Na 0.882 0.877 0.760
Co 0.037 0.810 0.062
Na 0.257 0.978 0.584
Na 0.743 0.478 0.416
O 0.268 0.534 0.046
Se 0.322 0.897 0.324
O 0.220 0.036 0.955
Se 0.678 0.397 0.676
Se 0.236 0.474 0.698
Co 0.516 0.794 0.029
Na 0.118 0.377 0.240
O 0.732 0.034 0.954
Co 0.963 0.310 0.938

Results
Raw total energy: -4.4942 eV/atom
Total moment: 11.7 μB/cell

=====

Record 3
Below is a relaxed Na5CoSeO2 crystal, with properties calculated at the PBE with a Hubbard U level.

Lattice parameters (Å, degrees): 4.597 4.597 8.112 90.00 90.00 90.00
Fractional positions:
Na 0.500 0.000 0.249
Co 0.000 0.000 0.000
Se 0.500 0.500 0.500
Na 0.000 0.500 0.249
Na 0.000 0.500 0.751
Na 0.000 0.000 0.500
O 0.000 0.000 0.782
O 0.000 0.000 0.218
Na 0.500 0.000 0.751

Results
Raw total energy: -3.9107 eV/atom
Total moment: 2.0 μB/cell

=====

Record 4
Below is a relaxed NaCoSeO crystal, with properties calculated at the PBE with a Hubbard U level.

Lattice parameters (Å, degrees): 5.917 3.549 7.308 90.00 90.00 90.00
Fractional positions:
Co 0.022 0.000 0.599
Na 0.125 0.500 0.207
O 0.208 0.000 0.399
Se 0.636 0.500 0.197
Se 0.136 0.500 0.803
Na 0.625 0.500 0.793
O 0.708 0.000 0.601
Co 0.522 0.000 0.401

Results
Raw total energy: -4.5093 eV/atom
Total moment: 6.9 μB/cell